No. 1
SrCdHPb2 | PBE-GGA | optimized geometry

```
SrCdHPb2
1.0
5.0839 0.0000 0.0000
0.0000 5.0839 0.0000
0.0000 0.0000 4.8598
Sr Cd H Pb
1 1 1 2
Direct
0.0000 0.0000 0.0000 Sr
0.5000 0.5000 0.0000 Cd
0.0000 0.0000 0.5000 H
0.0000 0.5000 0.5000 Pb
0.5000 0.0000 0.5000 Pb
```

Values from the calculation:
* V: 125.6 Å³/f.u.
* space group: P4/mmm
* total magnetic moment: 0.00 μB per formula unit
* energy: -2.793 eV/atom

***

No. 2
MgTaHg2 | PBE-GGA | optimized geometry

```
MgTaHg2
1.0
1.5517 0.8959 9.7410
-1.5517 0.8959 9.7410
0.0000 -1.7917 9.7410
Mg Ta Hg
1 1 2
Direct
0.0000 0.0000 0.0000 Mg
0.5000 0.5000 0.5000 Ta
0.2508 0.2508 0.2508 Hg
0.7492 0.7492 0.7492 Hg
```

Values from the calculation:
* V: 81.2 Å³/f.u.
* ΔH_f (0 K): 240 meV/atom
* space group: R-3m
* total magnetic moment: 0.00 μB per formula unit
* energy: -3.273 eV/atom

***

No. 3
MgNiI2N | PBE-GGA | optimized geometry

```
MgNiI2N
1.0
5.6086 0.0000 0.0000
0.0000 5.6086 0.0000
0.0000 0.0000 3.5540
Mg Ni I N
1 1 2 1
Direct
0.0000 0.0000 0.0000 Mg
0.5000 0.5000 0.5000 Ni
0.0000 0.5000 0.5000 I
0.5000 0.0000 0.5000 I
0.5000 0.5000 0.0000 N
```

Values from the calculation:
* V: 111.8 Å³/f.u.
* energy relative to the elements, uncorrected: 0.323 eV/atom
* space group: P4/mmm
* total magnetic moment: 0.00 μB per formula unit
* energy: -3.437 eV/atom

***

No. 4
La2PrEr8 | PBE-GGA | optimized geometry

```
La2PrEr8
1.0
9.0959 -2.5344 0.0000
9.0959 2.5344 0.0000
-2.1050 0.0000 7.7021
La Pr Er
2 1 8
Direct
0.2276 0.2276 0.1372 La
0.7724 0.7724 0.8628 La
0.5000 0.5000 0.5000 Pr
0.0436 0.0436 0.2260 Er
0.1354 0.1354 0.6768 Er
0.3190 0.3190 0.5937 Er
0.4110 0.4110 0.0447 Er
0.5890 0.5890 0.9553 Er
0.6810 0.6810 0.4063 Er
0.8646 0.8646 0.3232 Er
0.9564 0.9564 0.7740 Er
```

Values from the calculation:
* V: 355.1 Å³/f.u.
* ΔH_f (0 K): 35 meV/atom
* space group: C2/m
* total magnetic moment: 0.00 μB per formula unit
* energy: -4.614 eV/atom

***

No. 5
SbIrBr2 | PBE-GGA | optimized geometry

```
SbIrBr2
1.0
3.4458 -1.9885 0.0000
3.4458 1.9885 0.0000
-0.0477 0.0000 8.6631
Sb Ir Br
1 1 2
Direct
0.0000 0.0000 0.0000 Sb
0.6658 0.6658 0.8681 Ir
0.0023 0.0023 0.2901 Br
0.3315 0.3315 0.6951 Br
```

Values from the calculation:
* V: 118.7 Å³/f.u.
* energy relative to the elements, uncorrected: -0.292 eV/atom
* space group: Cm
* total magnetic moment: 0.00 μB per formula unit
* energy: -4.375 eV/atom

***

No. 6
RbTmMn2Se4 | PBE-GGA | optimized geometry

```
RbTmMn2Se4
1.0
-3.4076 4.1382 4.4894
3.4076 -4.1382 4.4894
3.4076 4.1382 -4.4894
Rb Tm Mn Se
1 1 2 4
Direct
0.0000 0.0000 0.0000 Rb
0.5000 0.5000 0.0000 Tm
0.3920 0.8920 0.5000 Mn
0.6080 0.1080 0.5000 Mn
0.1491 0.0741 0.5814 Se
0.4927 0.5677 0.4186 Se
0.5073 0.9259 0.0750 Se
0.8509 0.4323 0.9250 Se
```

Values from the calculation:
* V: 253.2 Å³/f.u.
* energy relative to the elements, uncorrected: -0.612 eV/atom
* space group: I222
* total magnetic moment: 3.97 μB per formula unit
* energy: -5.327 eV/atom

***

- V of number 2 (MgTaHg2)?
  81.2 Å³/f.u.

***

- Number 4 is which compound?
  La2PrEr8

***

- Which value of V does entry 2 give?
  81.2 Å³/f.u.